1.
A plane-wave DFT calculation with PBE was carried out for an optimized crystal structure of TbTh2Sb2Te2.

The calculation puts the energy relative to the elements, uncorrected at -4.322 eV per formula unit. Its space-group type is I4/mmm (139).

Unit cell a=5.708 b=5.708 c=8.830 alpha=108.86 beta=108.86 gamma=90.00
Each line ends with the local moment (μB).
Fractional positions:
Tb: 0.000 0.000 0.000  0.02
Th: 0.388 0.388 0.775  0.33
Th: 0.612 0.612 0.225  0.33
Sb: 0.000 0.500 0.000  -0.01
Sb: 0.500 0.000 0.000  -0.01
Te: 0.194 0.194 0.387  0.00
Te: 0.806 0.806 0.613  0.00



2.
A plane-wave DFT calculation with PBE was carried out for an optimized crystal structure of La2CoP3Rh4.

As for the formation energy: -9.56 eV/f.u. Its space-group type is P-4m2 (115).

Unit cell a=4.156 b=4.156 c=9.877 alpha=90.00 beta=90.00 gamma=90.00
Each line ends with the local moment (μB).
Fractional positions:
La: 0.500 0.000 0.256  -0.01
La: 0.000 0.500 0.744  -0.01
Co: 0.500 0.500 0.500  1.68
P: 0.000 0.000 0.500  0.03
P: 0.500 0.000 0.865  0.00
P: 0.000 0.500 0.135  0.00
Rh: 0.500 0.500 0.000  -0.04
Rh: 0.000 0.000 0.000  -0.04
Rh: 0.500 0.000 0.624  0.22
Rh: 0.000 0.500 0.376  0.22



Q: What is the formula in the second record?
A: La2CoP3Rh4